No. 1
Computed, not measured: a relaxed Sm4InRh2 crystal at the PBE level of DFT.

Unit cell a=10.3493 b=10.3493 c=10.3493 alpha=26.39 beta=26.39 gamma=26.39
Last column: nearest neighbours and their distance in Å.
Fractional coordinates of all 7 atoms:
Sm: 0.1111 0.1111 0.1111  3 Rh 3.00, 3 In 3.20
Sm: 0.2980 0.2980 0.2980  4 Rh 2.91-3.14
Sm: 0.7020 0.7020 0.7020  4 Rh 2.91-3.14
Sm: 0.8889 0.8889 0.8889  3 Rh 3.00, 3 In 3.20
In: 0.5000 0.5000 0.5000  2 Rh 2.91, 6 Sm 3.20
Rh: 0.4028 0.4028 0.4028  1 In 2.91, 7 Sm 2.91-3.14
Rh: 0.5972 0.5972 0.5972  1 In 2.91, 7 Sm 2.91-3.14

Output
Formation energy   -47.6 kJ per mole of atoms
SG   R-3m

No. 2
Computed, not measured: a relaxed KPuPd crystal at the PBE level of DFT.

Unit cell a=3.3878 b=3.3878 c=14.0177 alpha=94.40 beta=94.40 gamma=78.00
Last column: nearest neighbours and their distance in Å.
Fractional coordinates of all 6 atoms:
K: 0.2452 0.2452 0.1522  3 Pd 3.23-3.54, 4 K 3.39
K: 0.7548 0.7548 0.8478  3 Pd 3.23-3.54, 4 K 3.39
Pu: 0.2984 0.2984 0.4582  3 Pu 2.32-2.51
Pu: 0.7016 0.7016 0.5418  3 Pu 2.32-2.51
Pd: 0.2194 0.2194 0.6736  4 Pu 2.82-3.14
Pd: 0.7806 0.7806 0.3264  4 Pu 2.82-3.14

Output
Formation energy   7.3 kJ per mole of atoms
SG   C2/m

No. 3
Computed, not measured: a relaxed Ni2Mo2Ir crystal at the PBE level of DFT.

Unit cell a=6.8891 b=6.8891 c=2.8569 alpha=90.00 beta=90.00 gamma=90.00
Last column: nearest neighbours and their distance in Å.
Fractional coordinates of all 10 atoms:
Ni: 0.1222 0.3778 0.0000  1 Ni 2.38, 6 Mo 2.44-2.52
Ni: 0.3778 0.8778 0.0000  1 Ni 2.38, 6 Mo 2.44-2.52
Ni: 0.6222 0.1222 0.0000  1 Ni 2.38, 6 Mo 2.44-2.52
Ni: 0.8778 0.6222 0.0000  1 Ni 2.38, 6 Mo 2.44-2.52
Mo: 0.1753 0.6753 0.5000  6 Ni 2.44-2.52
Mo: 0.3247 0.1753 0.5000  6 Ni 2.44-2.52
Mo: 0.6753 0.8247 0.5000  6 Ni 2.44-2.52
Mo: 0.8247 0.3247 0.5000  6 Ni 2.44-2.52
Ir: 0.0000 0.0000 0.0000  4 Ni 2.74, 2 Ir 2.86, 8 Mo 2.92
Ir: 0.5000 0.5000 0.0000  4 Ni 2.74, 2 Ir 2.86, 8 Mo 2.92

Output
Formation energy   1.2 kJ per mole of atoms
SG   P4/mbm

No. 4
Computed, not measured: a relaxed CdReH2Au crystal at the PBE level of DFT.

Unit cell a=3.7360 b=3.7360 c=5.6010 alpha=90.00 beta=90.00 gamma=90.00
Last column: nearest neighbours and their distance in Å.
Fractional coordinates of all 5 atoms:
Cd: 0.0000 0.0000 0.0000  4 Au 2.64, 2 Re 2.80
Re: 0.0000 0.0000 0.5000  4 H 1.87
H: 0.0000 0.5000 0.5000  2 Re 1.87
H: 0.5000 0.0000 0.5000  2 Re 1.87
Au: 0.5000 0.5000 0.0000  4 Cd 2.64

Output
Total energy   -18.97 eV/cell
SG   P4/mmm

No. 5
Computed, not measured: a relaxed Ca2H6Br crystal at the PBE level of DFT.

Unit cell a=5.1472 b=5.1472 c=5.1472 alpha=60.00 beta=60.00 gamma=60.00
Last column: nearest neighbours and their distance in Å.
Fractional coordinates of all 9 atoms:
Ca: 0.2500 0.2500 0.2500  12 H 2.70
Ca: 0.7500 0.7500 0.7500  12 H 2.70
H: 0.1366 0.1366 0.8634  4 H 1.41
H: 0.1366 0.8634 0.1366  4 H 1.41
H: 0.1366 0.8634 0.8634  4 H 1.41
H: 0.8634 0.1366 0.1366  4 H 1.41
H: 0.8634 0.1366 0.8634  4 H 1.41
H: 0.8634 0.8634 0.1366  4 H 1.41
Br: 0.5000 0.5000 0.5000  6 H 2.64

Output
Total energy   -24.71 eV/cell
SG   Fm-3m

No. 6
Computed, not measured: a relaxed NaCuO2F crystal at the PBE level of DFT.

Unit cell a=3.6841 b=3.6841 c=4.3917 alpha=90.00 beta=90.00 gamma=90.00
Last column: nearest neighbours and their distance in Å.
Fractional coordinates of all 5 atoms:
Na: 0.0000 0.0000 0.0000  4 F 2.61, 8 O 2.87
Cu: 0.5000 0.5000 0.5000  4 O 1.84
O: 0.0000 0.5000 0.5000  2 Cu 1.84
O: 0.5000 0.0000 0.5000  2 Cu 1.84
F: 0.5000 0.5000 0.0000  2 Cu 2.20

Output
Uncorrected formation energy   -0.926 eV/atom
SG   P4/mmm

No. 7
Computed, not measured: a relaxed Ca4TeN4 crystal at the PBE level of DFT.

Unit cell a=6.1319 b=6.1568 c=9.4680 alpha=75.38 beta=80.67 gamma=71.21
Last column: nearest neighbours and their distance in Å.
Fractional coordinates of all 18 atoms:
Ca: 0.0117 0.2538 0.4333  4 N 2.31-2.55
Ca: 0.2214 0.2445 0.9805  3 N 2.31-2.49
Ca: 0.4339 0.7368 0.8035  3 N 2.35-2.60
Ca: 0.4754 0.2270 0.5704  4 N 2.29-2.50
Ca: 0.5246 0.7730 0.4296  4 N 2.29-2.50
Ca: 0.5661 0.2632 0.1965  3 N 2.35-2.60
Ca: 0.7786 0.7555 0.0195  3 N 2.31-2.49
Ca: 0.9883 0.7462 0.5667  4 N 2.31-2.55
Te: 0.1697 0.7754 0.2014  3 N 2.00-2.04
Te: 0.8303 0.2246 0.7986  3 N 2.00-2.04
N: 0.2184 0.5802 0.0482  1 Te 2.04
N: 0.2449 0.9492 0.5917  5 Ca 2.29-2.50
N: 0.2610 0.5276 0.3810  1 Te 2.00
N: 0.4260 0.9316 0.1722  1 Te 2.04
N: 0.5740 0.0684 0.8278  1 Te 2.04
N: 0.7390 0.4724 0.6190  1 Te 2.00
N: 0.7551 0.0508 0.4083  5 Ca 2.29-2.50
N: 0.7816 0.4198 0.9518  1 Te 2.04

Output
Uncorrected formation energy   -0.537 eV/atom
SG   P-1

No. 8
Computed, not measured: a relaxed Cr3MoPb crystal at the PBE level of DFT.

Unit cell a=4.7498 b=4.7498 c=4.7498 alpha=90.00 beta=90.00 gamma=90.00
Last column: nearest neighbours and their distance in Å.
Fractional coordinates of all 5 atoms:
Cr: 0.0000 0.0000 0.5000  2 Mo 2.37
Cr: 0.0000 0.5000 0.0000  2 Mo 2.37
Cr: 0.5000 0.0000 0.0000  2 Mo 2.37
Mo: 0.0000 0.0000 0.0000  6 Cr 2.37
Pb: 0.5000 0.5000 0.5000  12 Cr 3.36

Output
Formation energy   122.6 kJ per mole of atoms
Energy above the lowest structure with this stoichiometry   0.000 eV per atom
SG   Pm-3m

No. 9
Computed, not measured: a relaxed Nb6SiOs crystal at the PBE level of DFT.

Unit cell a=5.1527 b=5.1527 c=5.1527 alpha=90.07 beta=90.07 gamma=90.07
Last column: nearest neighbours and their distance in Å.
Fractional coordinates of all 8 atoms:
Nb: 0.0000 0.5004 0.2517  2 Nb 2.56-2.59
Nb: 0.0000 0.4996 0.7483  2 Nb 2.56-2.59
Nb: 0.2517 0.0000 0.5004  2 Nb 2.56-2.59
Nb: 0.5004 0.2517 0.0000  2 Nb 2.56-2.59
Nb: 0.4996 0.7483 0.0000  2 Nb 2.56-2.59
Nb: 0.7483 0.0000 0.4996  2 Nb 2.56-2.59
Si: 0.0000 0.0000 0.0000  12 Nb 2.88
Os: 0.5000 0.5000 0.5000  12 Nb 2.88

Output
Uncorrected formation energy   -0.321 eV/atom
SG   R-3

No. 10
Computed, not measured: a relaxed SiBi2Se4 crystal at the PBE level of DFT.

Unit cell a=6.4877 b=6.4877 c=6.4877 alpha=105.08 beta=105.08 gamma=118.66
Last column: nearest neighbours and their distance in Å.
Fractional coordinates of all 7 atoms:
Si: 0.0000 0.0000 0.0000  4 Se 2.31
Bi: 0.2500 0.7500 0.5000  4 Se 2.96, 2 Bi 3.31
Bi: 0.7500 0.2500 0.5000  4 Se 2.96, 2 Bi 3.31
Se: 0.0479 0.3759 0.0000  1 Si 2.31
Se: 0.3759 0.0479 0.0000  1 Si 2.31
Se: 0.6241 0.6241 0.6720  1 Si 2.31
Se: 0.9521 0.9521 0.3280  1 Si 2.31

Output
Uncorrected formation energy   -0.283 eV/atom
SG   I-42m

No. 11
Computed, not measured: a relaxed Ti6Al12Re crystal at the PBE level of DFT.

Unit cell a=6.8000 b=6.8000 c=6.8000 alpha=93.75 beta=93.75 gamma=93.75
Last column: nearest neighbours and their distance in Å.
Fractional coordinates of all 19 atoms:
Ti: 0.2134 0.7645 0.3780  9 Al 2.74-2.91, 1 Re 2.86, 2 Ti 3.00
Ti: 0.2355 0.6220 0.7866  9 Al 2.74-2.91, 1 Re 2.86, 2 Ti 3.00
Ti: 0.3780 0.2134 0.7645  9 Al 2.74-2.91, 1 Re 2.86, 2 Ti 3.00
Ti: 0.6220 0.7866 0.2355  9 Al 2.74-2.91, 1 Re 2.86, 2 Ti 3.00
Ti: 0.7645 0.3780 0.2134  9 Al 2.74-2.91, 1 Re 2.86, 2 Ti 3.00
Ti: 0.7866 0.2355 0.6220  9 Al 2.74-2.91, 1 Re 2.86, 2 Ti 3.00
Al: 0.0419 0.9541 0.7109  3 Al 2.59-2.74, 4 Ti 2.74-2.88
Al: 0.0459 0.2891 0.9581  3 Al 2.59-2.74, 4 Ti 2.74-2.88
Al: 0.1310 0.3707 0.4568  2 Al 2.59-2.65, 1 Re 2.60, 4 Ti 2.75-2.90
Al: 0.2891 0.9581 0.0459  3 Al 2.59-2.74, 4 Ti 2.74-2.88
Al: 0.3707 0.4568 0.1310  2 Al 2.59-2.65, 1 Re 2.60, 4 Ti 2.75-2.90
Al: 0.4568 0.1310 0.3707  2 Al 2.59-2.65, 1 Re 2.60, 4 Ti 2.75-2.90
Al: 0.5432 0.8690 0.6293  2 Al 2.59-2.65, 1 Re 2.60, 4 Ti 2.75-2.90
Al: 0.6293 0.5432 0.8690  2 Al 2.59-2.65, 1 Re 2.60, 4 Ti 2.75-2.90
Al: 0.7109 0.0419 0.9541  3 Al 2.59-2.74, 4 Ti 2.74-2.88
Al: 0.8690 0.6293 0.5432  2 Al 2.59-2.65, 1 Re 2.60, 4 Ti 2.75-2.90
Al: 0.9541 0.7109 0.0419  3 Al 2.59-2.74, 4 Ti 2.74-2.88
Al: 0.9581 0.0459 0.2891  3 Al 2.59-2.74, 4 Ti 2.74-2.88
Re: 0.5000 0.5000 0.5000  6 Al 2.60, 6 Ti 2.86

Output
Formation energy   -29.6 kJ per mole of atoms
SG   R-3

No. 12
Computed, not measured: a relaxed NdErAgHg crystal at the PBE level of DFT.

Unit cell a=3.6967 b=3.6967 c=7.5417 alpha=90.00 beta=90.00 gamma=90.00
Last column: nearest neighbours and their distance in Å.
Fractional coordinates of all 4 atoms:
Nd: 0.0000 0.0000 0.0000  4 Ag 3.31, 4 Hg 3.33, 1 Er 3.69, 4 Nd 3.70
Er: 0.0000 0.0000 0.4890  4 Ag 3.09, 4 Hg 3.17
Ag: 0.5000 0.5000 0.2693  4 Er 3.09, 4 Nd 3.31, 1 Hg 3.45
Hg: 0.5000 0.5000 0.7274  4 Er 3.17, 4 Nd 3.33, 1 Ag 3.45

Output
Formation energy   -37.0 kJ per mole of atoms
Energy above the lowest structure with this stoichiometry   0.000 eV per atom
SG   P4mm

Sequential calculated volume output: 193 157 136 78 96 60 326 107 137 206 312 103 Å³/cell